Here is a relaxed LiSmEr crystal from OQMD via LeMat-Bulk. Energies are from GGA-PBE.

Output
VASP energy ... -3.22 eV per atom
Distance to the lowest polymorph of the same formula ... 0 meV per atom

Cell lengths 7.1400, 7.1400, 7.1400 Å; angles 90.00, 90.00, 90.00 degrees
With the nearest neighbours (Å) after each atom.
Sites, in units of the cell vectors:
Li 0.0000 0.0000 0.0000  4 Er 3.09, 4 Sm 3.09
Li 0.0000 0.5000 0.5000  4 Er 3.09, 4 Sm 3.09
Li 0.5000 0.0000 0.5000  4 Er 3.09, 4 Sm 3.09
Li 0.5000 0.5000 0.0000  4 Er 3.09, 4 Sm 3.09
Sm 0.2500 0.2500 0.2500  4 Li 3.09
Sm 0.2500 0.7500 0.7500  4 Li 3.09
Sm 0.7500 0.2500 0.7500  4 Li 3.09
Sm 0.7500 0.7500 0.2500  4 Li 3.09
Er 0.2500 0.2500 0.7500  4 Li 3.09
Er 0.2500 0.7500 0.2500  4 Li 3.09
Er 0.7500 0.2500 0.2500  4 Li 3.09
Er 0.7500 0.7500 0.7500  4 Li 3.09